An optimized crystal structure of K2Hg2Br. Source: the Alexandria database, functional PBE-GGA.

Unit cell a=6.592 b=6.592 c=6.857 alpha=61.27 beta=61.27 gamma=90.00
Positions (direct):
K 0.750 0.250 0.500
K 0.250 0.750 0.500
Hg 0.352 0.352 0.295
Hg 0.648 0.648 0.705
Br 0.000 0.000 0.000

Electronic total energy in eV per atom: -1.40
DOS at the Fermi energy in states/eV/f.u.: 4.75
Space-group type: No. 139
ΔE_f (raw) in eV per formula unit: -2.52

An optimized crystal structure of K3YU2S6. Source: the Alexandria database, functional PBE-GGA.

Unit cell a=7.013 b=7.013 c=7.778 alpha=98.64 beta=98.64 gamma=120.00
Positions (direct):
K 0.166 0.834 0.500
K 0.834 0.166 0.500
K 0.500 0.500 0.500
Y 0.000 0.000 0.000
U 0.333 0.667 0.000
U 0.667 0.333 0.000
S 0.932 0.598 0.796
S 0.734 0.734 0.204
S 0.068 0.402 0.204
S 0.598 0.932 0.796
S 0.266 0.266 0.796
S 0.402 0.068 0.204

Electronic total energy in eV per atom: -6.30
DOS at the Fermi energy in states/eV/f.u.: 7.05
Space-group type: No. 12
ΔE_f (raw) in eV per formula unit: -18.49